Entry 1:
DFT (PBE) results for a relaxed ZnRe3 crystal.

Magnetization (μB per formula unit): 0.00
VASP energy (eV/atom): -9.482
Formation energy from the elements (eV per atom): 0.17
Density (g/cm³): 17.47

The structure in extended XYZ format:
```
4
Lattice="2.777 0.000 0.000 0.000 2.777 0.000 0.000 0.000 7.693" Properties=species:S:1:pos:R:3 pbc="T T T"
Zn 0.000 0.000 0.000
Re 0.000 0.000 3.846
Re 1.388 1.388 1.952
Re 1.388 1.388 5.740
```

---

Entry 2:
DFT (PBE) results for a relaxed MnIn2Cl crystal.

Magnetization (μB per formula unit): 4.11
VASP energy (eV/atom): -3.991
Density (g/cm³): 5.31
Formation energy from raw total energies (eV/atom): 0.133

The structure in extended XYZ format:
```
4
Lattice="-2.096 2.096 5.696 2.096 -2.096 5.696 2.096 2.096 -5.696" Properties=species:S:1:pos:R:3 pbc="T T T"
Mn 0.000 0.000 0.000
In 0.000 0.000 5.696
In 0.000 2.096 2.848
Cl 2.096 0.000 2.848
```

---

Entry 3:
DFT (PBE) results for a relaxed TmHfAu2 crystal.

Magnetization (μB per formula unit): 0.00
VASP energy (eV/atom): -5.721
Formation energy from the elements (eV per atom): -0.48
Density (g/cm³): 13.36

The structure in extended XYZ format:
```
4
Lattice="1.843 1.064 7.828 -1.843 1.064 7.828 0.000 -2.128 7.828" Properties=species:S:1:pos:R:3 pbc="T T T"
Tm 0.000 0.000 0.000
Hf 0.000 0.000 11.742
Au 0.000 0.000 5.744
Au 0.000 0.000 17.740
```

---

Entry 4:
DFT (PBE) results for a relaxed Th3C2 crystal.

Magnetization (μB per formula unit): 0.00
VASP energy (eV/atom): -8.346
Formation energy from the elements (eV per atom): -0.20
Density (g/cm³): 10.96

The structure in extended XYZ format:
```
10
Lattice="3.205 1.850 6.137 -3.205 1.850 6.137 0.000 -3.700 6.137" Properties=species:S:1:pos:R:3 pbc="T T T"
Th -2.169 -0.056 7.671
Th -1.036 -1.906 10.740
Th 1.133 -1.850 7.671
Th -1.133 1.850 10.740
Th 1.036 1.906 7.671
Th 2.169 0.056 10.740
C 0.000 0.000 3.003
C 0.000 0.000 6.202
C 0.000 0.000 12.209
C 0.000 0.000 15.407
```

---

Entry 5:
DFT (PBE) results for a relaxed GdMg2Au crystal.

Magnetization (μB per formula unit): 7.39
VASP energy (eV/atom): -5.155
Formation energy from the elements (eV per atom): -0.02
Density (g/cm³): 6.68

The structure in extended XYZ format:
```
4
Lattice="1.662 0.960 10.466 -1.662 0.960 10.466 0.000 -1.919 10.466" Properties=species:S:1:pos:R:3 pbc="T T T"
Gd 0.000 0.000 0.000
Mg 0.000 0.000 3.226
Mg 0.000 0.000 28.173
Au 0.000 0.000 15.699
```

---

Entry 6:
DFT (PBE) results for a relaxed ErAlOs2C crystal.

Magnetization (μB per formula unit): 0.00
VASP energy (eV/atom): -8.326
Formation energy from the elements (eV per atom): -0.33
Density (g/cm³): 12.28

The structure in extended XYZ format:
```
10
Lattice="1.977 -5.540 0.000 1.977 5.540 0.000 0.000 0.000 7.244" Properties=species:S:1:pos:R:3 pbc="T T T"
Er 1.977 5.001 5.433
Er 1.977 -5.001 1.811
Al 1.977 2.981 1.811
Al 1.977 -2.981 5.433
Os 1.977 1.832 4.058
Os 1.977 1.832 6.809
Os 1.977 -1.832 0.436
Os 1.977 -1.832 3.187
C 1.977 0.000 0.000
C 1.977 0.000 3.622
```

---

Entry 7:
DFT (PBE) results for a relaxed Ac3MgGa2Au6 crystal.

Magnetization (μB per formula unit): 0.00
VASP energy (eV/atom): -3.884
Formation energy from the elements (eV per atom): -0.58
Density (g/cm³): 10.77

The structure in extended XYZ format:
```
12
Lattice="6.519 0.000 0.000 -3.259 5.646 0.000 0.000 0.000 8.489" Properties=species:S:1:pos:R:3 pbc="T T T"
Ac 0.000 0.000 0.000
Ac 0.000 3.764 5.425
Ac 3.259 1.882 3.064
Mg 0.000 0.000 4.245
Ga 0.000 3.764 0.245
Ga 3.259 1.882 8.245
Au 0.000 2.068 2.430
Au -1.468 4.611 2.430
Au 1.791 1.034 6.059
Au 1.468 4.611 2.430
Au 4.728 1.034 6.059
Au 3.259 3.577 6.059
```

---

Entry 8:
DFT (PBE) results for a relaxed MnBe2Al crystal.

Magnetization (μB per formula unit): 2.13
VASP energy (eV/atom): -5.123
Formation energy from the elements (eV per atom): -0.03
Density (g/cm³): 3.87

The structure in extended XYZ format:
```
4
Lattice="2.713 0.000 0.000 0.000 2.713 0.000 0.000 0.000 5.831" Properties=species:S:1:pos:R:3 pbc="T T T"
Mn 0.000 0.000 0.000
Be 0.000 0.000 3.366
Be 1.357 1.357 4.443
Al 1.357 1.357 1.671
```